# 1
DFT (PBE-GGA) results for a relaxed structure of Cs12ZnAu7. Values from VASP.

```
&SYSTEM
  ibrav = 0, nat = 20, ntyp = 3
/
ATOMIC_SPECIES
Cs 132.91 Cs.upf
Au 196.97 Au.upf
Zn 65.41 Zn.upf
ATOMIC_POSITIONS crystal
Cs 0.3191 0.3897 0.1161
Cs 0.7644 0.9078 0.3435
Cs 0.6565 0.2356 0.0922
Cs 0.3897 0.1161 0.3191
Cs 0.2356 0.0922 0.6565
Cs 0.9078 0.3435 0.7644
Cs 0.3435 0.7644 0.9078
Cs 0.8839 0.6809 0.6103
Cs 0.0922 0.6565 0.2356
Cs 0.6809 0.6103 0.8839
Cs 0.6103 0.8839 0.6809
Cs 0.1161 0.3191 0.3897
Au 0.0187 0.9450 0.2200
Au 0.9813 0.0550 0.7800
Au 0.2200 0.0187 0.9451
Au 0.0549 0.7800 0.9813
Au 0.7800 0.9813 0.0549
Au 0.5000 0.5000 0.5000
Au 0.9451 0.2200 0.0187
Zn 0.0000 0.0000 0.0000
CELL_PARAMETERS angstrom
-8.2509 -8.0059 1.4566
10.3692 -5.0372 -1.1848
0.0851 7.3999 8.9180
```

Properties
space group: No. 148
D(E_F): 11.72 states/eV/f.u.
energy of formation from the pure elements: -0.2205 eV per atom
crystal system: trigonal


# 2
DFT (PBE-GGA) results for a relaxed structure of Cs3Zn2Au4. Values from VASP.

```
&SYSTEM
  ibrav = 0, nat = 9, ntyp = 3
/
ATOMIC_SPECIES
Au 196.97 Au.upf
Cs 132.91 Cs.upf
Zn 65.41 Zn.upf
ATOMIC_POSITIONS crystal
Au 0.7888 0.9265 0.5775
Au 0.4526 0.3147 0.9051
Au 0.5474 0.6853 0.0949
Au 0.2112 0.0735 0.4225
Cs 0.1564 0.5487 0.3129
Cs 0.0000 0.0000 0.0000
Cs 0.8436 0.4513 0.6871
Zn 0.6586 0.9912 0.3172
Zn 0.3414 0.0088 0.6828
CELL_PARAMETERS angstrom
-3.6578 -0.8436 3.0458
4.5837 -2.1216 4.9170
0.6400 10.0474 -0.2845
```

Properties
space group: No. 12
excess energy over the best structure of this formula in the dataset: 0.00 kcal/mol of atoms
D(E_F): 2.46 states/eV/f.u.
energy of formation from the pure elements: -0.2437 eV per atom
crystal system: monoclinic


# 3
DFT (PBE-GGA) results for a relaxed structure of Cs3ZnAu4. Values from VASP.

```
&SYSTEM
  ibrav = 0, nat = 8, ntyp = 3
/
ATOMIC_SPECIES
Au 196.97 Au.upf
Cs 132.91 Cs.upf
Zn 65.41 Zn.upf
ATOMIC_POSITIONS crystal
Au 0.5154 0.1987 0.3167
Au 0.2120 0.3148 0.5268
Au 0.1180 0.8013 0.3167
Au 0.2120 0.6852 0.8972
Cs 0.5894 0.2521 0.8416
Cs 0.5894 0.7479 0.3373
Cs 0.9411 0.0000 0.9411
Zn 0.9736 0.5000 0.4736
CELL_PARAMETERS angstrom
-4.4570 5.5351 -0.3494
-2.4693 -6.6027 0.9650
3.6760 2.5265 5.5433
```

Properties
space group: No. 44
excess energy over the best structure of this formula in the dataset: 0.78 kcal/mol of atoms
D(E_F): 2.92 states/eV/f.u.
energy of formation from the pure elements: -0.2292 eV per atom
crystal system: orthorhombic


# 4
DFT (PBE-GGA) results for a relaxed structure of Cs3Zn2Au. Values from VASP.

```
&SYSTEM
  ibrav = 0, nat = 12, ntyp = 3
/
ATOMIC_SPECIES
Zn 65.41 Zn.upf
Cs 132.91 Cs.upf
Au 196.97 Au.upf
ATOMIC_POSITIONS crystal
Zn 0.6198 0.0512 0.0800
Zn 0.9488 0.3802 0.4200
Zn 0.0512 0.6198 0.5800
Zn 0.3802 0.9488 0.9200
Cs 0.2748 0.0582 0.4273
Cs 0.4051 0.5949 0.2500
Cs 0.5949 0.4051 0.7500
Cs 0.9418 0.7252 0.0727
Cs 0.0582 0.2748 0.9273
Cs 0.7252 0.9418 0.5727
Au 0.7100 0.2900 0.2500
Au 0.2900 0.7100 0.7500
CELL_PARAMETERS angstrom
8.6227 -0.6455 1.3064
-1.0514 8.5827 1.3064
-0.1789 -0.1875 7.4520
```

Properties
space group: No. 15
D(E_F): 2.82 states/eV/f.u.
energy of formation from the pure elements: -0.0733 eV per atom
crystal system: monoclinic


# 5
DFT (PBE-GGA) results for a relaxed structure of Cs2ZnAu2. Values from VASP.

```
&SYSTEM
  ibrav = 0, nat = 10, ntyp = 3
/
ATOMIC_SPECIES
Cs 132.91 Cs.upf
Zn 65.41 Zn.upf
Au 196.97 Au.upf
ATOMIC_POSITIONS crystal
Cs 0.0357 0.2876 0.0715
Cs 0.7796 0.1124 0.5593
Cs 0.9643 0.7876 0.9285
Cs 0.2204 0.6124 0.4407
Zn 0.6082 0.8965 0.2164
Zn 0.3918 0.3965 0.7836
Au 0.4241 0.1064 0.8481
Au 0.5759 0.6064 0.1519
Au 0.1424 0.9628 0.2848
Au 0.8576 0.4628 0.7152
CELL_PARAMETERS angstrom
-4.7836 0.4546 1.0189
-0.6672 -8.8588 0.8203
4.4316 0.4768 8.7533
```

Properties
space group: No. 36
excess energy over the best structure of this formula in the dataset: 0.34 kcal/mol of atoms
D(E_F): 0.78 states/eV/f.u.
energy of formation from the pure elements: -0.2285 eV per atom
crystal system: orthorhombic


# 6
DFT (PBE-GGA) results for a relaxed structure of Cs2Zn4Au5. Values from VASP.

```
&SYSTEM
  ibrav = 0, nat = 11, ntyp = 3
/
ATOMIC_SPECIES
Au 196.97 Au.upf
Zn 65.41 Zn.upf
Cs 132.91 Cs.upf
ATOMIC_POSITIONS crystal
Au 0.5000 0.0000 0.0000
Au 0.7500 0.5000 0.5000
Au 0.0000 0.5000 0.0000
Au 0.5000 0.5000 0.0000
Au 0.2500 0.5000 0.5000
Zn 0.5435 0.6652 0.2477
Zn 0.2087 0.3348 0.2477
Zn 0.7913 0.6652 0.7523
Zn 0.4565 0.3348 0.7523
Cs 0.8582 0.0000 0.2835
Cs 0.1418 0.0000 0.7165
CELL_PARAMETERS angstrom
6.4464 0.0000 3.0772
3.2232 6.0913 1.5386
0.3680 0.0000 7.5201
```

Properties
space group: No. 69
D(E_F): 3.29 states/eV/f.u.
energy of formation from the pure elements: -0.2008 eV per atom
crystal system: orthorhombic


# 7
DFT (PBE-GGA) results for a relaxed structure of Cs3ZnAu. Values from VASP.

```
&SYSTEM
  ibrav = 0, nat = 10, ntyp = 3
/
ATOMIC_SPECIES
Cs 132.91 Cs.upf
Au 196.97 Au.upf
Zn 65.41 Zn.upf
ATOMIC_POSITIONS crystal
Cs 0.2515 0.7500 0.0812
Cs 0.7505 0.5586 0.6601
Cs 0.7505 0.9414 0.6601
Cs 0.2495 0.4414 0.3399
Cs 0.7485 0.2500 0.9188
Cs 0.2495 0.0586 0.3399
Au 0.7483 0.2500 0.5522
Au 0.2517 0.7500 0.4478
Zn 0.2485 0.2500 0.6319
Zn 0.7515 0.7500 0.3681
CELL_PARAMETERS angstrom
-0.4100 -4.3455 -2.2686
5.7421 -4.8978 8.3440
-9.2091 -1.8628 5.2440
```

Properties
space group: No. 11
excess energy over the best structure of this formula in the dataset: 0.00 kcal/mol of atoms
D(E_F): 3.12 states/eV/f.u.
energy of formation from the pure elements: -0.1287 eV per atom
crystal system: monoclinic


# 8
DFT (PBE-GGA) results for a relaxed structure of Cs2ZnAu. Values from VASP.

```
&SYSTEM
  ibrav = 0, nat = 4, ntyp = 3
/
ATOMIC_SPECIES
Zn 65.41 Zn.upf
Cs 132.91 Cs.upf
Au 196.97 Au.upf
ATOMIC_POSITIONS crystal
Zn 0.1359 0.8990 0.8292
Cs 0.7174 0.4836 0.0815
Cs 0.8878 0.6472 0.5772
Au 0.4691 0.2322 0.8296
CELL_PARAMETERS angstrom
4.6938 0.0000 1.0392
2.2364 4.1331 1.0187
0.2103 0.1337 10.1704
```

Properties
space group: No. 8
excess energy over the best structure of this formula in the dataset: 0.00 kcal/mol of atoms
D(E_F): 3.38 states/eV/f.u.
energy of formation from the pure elements: -0.1640 eV per atom
crystal system: monoclinic


# 9
DFT (PBE-GGA) results for a relaxed structure of Cs2ZnAu2. Values from VASP.

```
&SYSTEM
  ibrav = 0, nat = 5, ntyp = 3
/
ATOMIC_SPECIES
Zn 65.41 Zn.upf
Au 196.97 Au.upf
Cs 132.91 Cs.upf
ATOMIC_POSITIONS crystal
Zn 0.0000 0.0000 0.0000
Au 0.6742 0.6742 0.6516
Au 0.3258 0.3258 0.3484
Cs 0.2500 0.7500 0.5000
Cs 0.7500 0.2500 0.5000
CELL_PARAMETERS angstrom
7.0543 0.0000 0.0000
0.0000 7.0543 0.0000
3.5271 3.5271 3.9381
```

Properties
space group: No. 139
excess energy over the best structure of this formula in the dataset: 1.59 kcal/mol of atoms
D(E_F): 2.35 states/eV/f.u.
energy of formation from the pure elements: -0.1743 eV per atom
crystal system: tetragonal


# 10
DFT (PBE-GGA) results for a relaxed structure of CsZn12Au6. Values from VASP.

```
&SYSTEM
  ibrav = 0, nat = 19, ntyp = 3
/
ATOMIC_SPECIES
Zn 65.41 Zn.upf
Au 196.97 Au.upf
Cs 132.91 Cs.upf
ATOMIC_POSITIONS crystal
Zn 0.5000 0.1132 0.8868
Zn 0.1132 0.8868 0.5000
Zn 0.5938 0.5938 0.8906
Zn 0.8868 0.5000 0.1132
Zn 0.5000 0.8868 0.1132
Zn 0.4062 0.1094 0.4062
Zn 0.8906 0.5938 0.5938
Zn 0.8868 0.1132 0.5000
Zn 0.1132 0.5000 0.8868
Zn 0.1094 0.4062 0.4062
Zn 0.5938 0.8906 0.5938
Zn 0.4062 0.4062 0.1094
Au 0.7264 0.3149 0.7264
Au 0.7264 0.7264 0.3149
Au 0.6851 0.2736 0.2736
Au 0.2736 0.2736 0.6851
Au 0.2736 0.6851 0.2736
Au 0.3149 0.7264 0.7264
Cs 0.0000 0.0000 0.0000
CELL_PARAMETERS angstrom
7.2090 0.0124 -1.8355
-2.3643 6.8103 -1.8355
0.0088 0.0124 7.4390
```

Properties
space group: No. 166
D(E_F): 7.75 states/eV/f.u.
energy of formation from the pure elements: -0.1612 eV per atom
crystal system: trigonal


# 11
DFT (PBE-GGA) results for a relaxed structure of CsZn2Au2. Values from VASP.

```
&SYSTEM
  ibrav = 0, nat = 10, ntyp = 3
/
ATOMIC_SPECIES
Zn 65.41 Zn.upf
Au 196.97 Au.upf
Cs 132.91 Cs.upf
ATOMIC_POSITIONS crystal
Zn 0.1249 0.1249 0.2499
Zn 0.3749 0.8749 0.7499
Zn 0.8751 0.8751 0.7501
Zn 0.1251 0.6251 0.2501
Au 0.1713 0.8287 0.0000
Au 0.4213 0.5787 0.5000
Au 0.0787 0.9213 0.5000
Au 0.8287 0.1713 0.0000
Cs 0.5000 0.5000 0.0000
Cs 0.7500 0.2500 0.5000
CELL_PARAMETERS angstrom
-4.7115 -2.6342 4.6515
5.8751 -3.7566 -1.4647
2.4790 6.1262 3.1666
```

Properties
space group: No. 70
excess energy over the best structure of this formula in the dataset: 0.00 kcal/mol of atoms
D(E_F): 1.53 states/eV/f.u.
energy of formation from the pure elements: -0.2052 eV per atom
crystal system: orthorhombic


# 12
DFT (PBE-GGA) results for a relaxed structure of CsZn2Au. Values from VASP.

```
&SYSTEM
  ibrav = 0, nat = 4, ntyp = 3
/
ATOMIC_SPECIES
Cs 132.91 Cs.upf
Au 196.97 Au.upf
Zn 65.41 Zn.upf
ATOMIC_POSITIONS crystal
Cs 0.0000 0.0000 0.0000
Au 0.5000 0.5000 0.5000
Zn 0.2500 0.2500 0.2500
Zn 0.7500 0.7500 0.7500
CELL_PARAMETERS angstrom
4.5504 -3.0439 -0.4133
3.5922 -0.1446 4.1494
0.5350 -4.5602 3.0101
```

Properties
space group: No. 225
excess energy over the best structure of this formula in the dataset: 10.05 kcal/mol of atoms
D(E_F): 0.64 states/eV/f.u.
energy of formation from the pure elements: 0.2359 eV per atom
crystal system: cubic